# 1
Material: InGaPCl2
Method: DFT, PBE
State: relaxed

For the uncorrected formation energy, the calculation gives -208 meV/atom. The value obtained for the calculated total energy is -15.91 eV/cell. Its energy above the most stable polymorph in this dataset is 0.000 eV/atom.

The space group is P4/mmm (No. 123) and the conventional cell measures 4.914, 4.914 and 5.075 Å, with angles of 90.00, 90.00 and 90.00 degrees. Symmetry generates all atoms from In at (0.000, 0.000, 0.000), Ga at (0.500, 0.500, 0.500), P at (0.500, 0.500, 0.000) and Cl at (0.000, 0.500, 0.500).


# 2
Material: PmIn2GaCl6
Method: DFT, PBE
State: relaxed

For the uncorrected formation energy, the calculation gives -1382 meV/atom. The value obtained for the calculated total energy is -114.46 eV/cell.

The space group is R3 (No. 146, hexagonal axes) and the conventional cell measures 7.7645, 7.7645 and 19.5599 Å, with angles of 90.00, 90.00 and 120.00 degrees. Symmetry generates all atoms from Pm at (0.0000, 0.0000, 0.0000), In at (0.0000, 0.0000, 0.2113), In at (0.0000, 0.0000, 0.7055), Ga at (0.0000, 0.0000, 0.4920), Cl at (0.0407, 0.6246, 0.7568) and Cl at (0.0766, 0.3362, 0.5959).


# 3
Material: InGa2PtCl
Method: DFT, PBE
State: relaxed

For the uncorrected formation energy, the calculation gives -610 meV/atom. The value obtained for the calculated total energy is -19.73 eV/cell.

The space group is P4/mmm (No. 123) and the conventional cell measures 4.838, 4.838 and 5.269 Å, with angles of 90.00, 90.00 and 90.00 degrees. Symmetry generates all atoms from In at (0.000, 0.000, 0.000), Ga at (0.000, 0.500, 0.500), Pt at (0.000, 0.000, 0.500) and Cl at (0.500, 0.500, 0.000).


# 4
Material: In2GaPtCl
Method: DFT, PBE
State: relaxed

For the uncorrected formation energy, the calculation gives -596 meV/atom. The value obtained for the calculated total energy is -19.37 eV/cell.

The space group is P4/mmm (No. 123) and the conventional cell measures 5.234, 5.234 and 4.822 Å, with angles of 90.00, 90.00 and 90.00 degrees. Symmetry generates all atoms from In at (0.000, 0.500, 0.000), Ga at (0.000, 0.000, 0.500), Pt at (0.000, 0.000, 0.000) and Cl at (0.500, 0.500, 0.500).


# 5
Material: PuIn2GaCl6
Method: DFT, PBE
State: relaxed

For the uncorrected formation energy, the calculation gives -1230 meV/atom. The value obtained for the calculated total energy is -138.64 eV/cell.

The space group is R3 (No. 146, hexagonal axes) and the conventional cell measures 7.7379, 7.7379 and 19.6405 Å, with angles of 90.00, 90.00 and 120.00 degrees. Symmetry generates all atoms from Pu at (0.0000, 0.0000, 0.0000), In at (0.0000, 0.0000, 0.2959), In at (0.0000, 0.0000, 0.7903), Ga at (0.0000, 0.0000, 0.5065), Cl at (0.0056, 0.4130, 0.7398) and Cl at (0.0846, 0.7093, 0.5770).


# 6
Material: ScIn2GaCl6
Method: DFT, PBE
State: relaxed

For the uncorrected formation energy, the calculation gives -1320 meV/atom. The value obtained for the calculated total energy is -39.12 eV/cell.

The space group is P1 (No. 1) and the conventional cell measures 7.553, 7.558 and 7.598 Å, with angles of 90.03, 119.79 and 119.97 degrees. Symmetry generates all atoms from Sc at (0.000, 0.000, 0.000), In at (0.419, 0.710, 0.129), In at (0.433, 0.216, 0.650), Ga at (0.983, 0.491, 0.474), Cl at (0.086, 0.235, 0.784), Cl at (0.108, 0.315, 0.251), Cl at (0.458, 0.143, 0.251), Cl at (0.549, 0.851, 0.785), Cl at (0.933, 0.697, 0.784) and Cl at (0.937, 0.794, 0.251).


# 7
Material: SmIn2GaCl6
Method: DFT, PBE
State: relaxed

For the uncorrected formation energy, the calculation gives -1383 meV/atom. The value obtained for the calculated total energy is -114.39 eV/cell.

The space group is R3 (No. 146, hexagonal axes) and the conventional cell measures 7.7526, 7.7526 and 19.5241 Å, with angles of 90.00, 90.00 and 120.00 degrees. Symmetry generates all atoms from Sm at (0.0000, 0.0000, 0.0000), In at (0.0000, 0.0000, 0.2946), In at (0.0000, 0.0000, 0.7885), Ga at (0.0000, 0.0000, 0.5085), Cl at (0.0050, 0.4123, 0.7377) and Cl at (0.0837, 0.7092, 0.5770).


# 8
Material: InGaSnCl6
Method: DFT, PBE
State: relaxed

For the uncorrected formation energy, the calculation gives -974 meV/atom. The value obtained for the calculated total energy is -29.61 eV/cell.

The space group is P312 (No. 149) and the conventional cell measures 6.9718, 6.9718 and 6.7479 Å, with angles of 90.00, 90.00 and 120.00 degrees. Symmetry generates all atoms from In at (0.0000, 0.0000, 0.0000), Ga at (0.6667, 0.3333, 0.5000), Sn at (0.3333, 0.6667, 0.5000) and Cl at (0.3900, 0.0490, 0.7097).


# 9
Material: InGa2SnCl8
Method: DFT, PBE
State: relaxed

For the uncorrected formation energy, the calculation gives -930 meV/atom. The value obtained for the calculated total energy is -38.73 eV/cell.

The space group is P-3 (No. 147) and the conventional cell measures 7.6232, 7.6232 and 8.6433 Å, with angles of 90.00, 90.00 and 120.00 degrees. Symmetry generates all atoms from In at (0.0000, 0.0000, 0.0000), Ga at (0.3333, 0.6667, 0.8012), Sn at (0.0000, 0.0000, 0.5000), Cl at (0.1687, 0.3403, 0.7093) and Cl at (0.3333, 0.6667, 0.0549).


# 10
Material: InGaSn2Cl8
Method: DFT, PBE
State: relaxed

For the uncorrected formation energy, the calculation gives -961 meV/atom. The value obtained for the calculated total energy is -40.07 eV/cell.

The space group is P-1 (No. 2) and the conventional cell measures 6.363, 6.854 and 8.556 Å, with angles of 94.01, 91.44 and 91.67 degrees. Symmetry generates all atoms from In at (0.000, 0.000, 0.000), Ga at (0.000, 0.000, 0.500), Sn at (0.497, 0.528, 0.753), Cl at (0.209, 0.163, 0.798), Cl at (0.225, 0.693, 0.968), Cl at (0.256, 0.136, 0.232) and Cl at (0.277, 0.646, 0.521).


# 11
Material: SrInGaCl6
Method: DFT, PBE
State: relaxed

For the uncorrected formation energy, the calculation gives -1458 meV/atom. The value obtained for the calculated total energy is -31.65 eV/cell.

The space group is P312 (No. 149) and the conventional cell measures 7.0365, 7.0365 and 6.7245 Å, with angles of 90.00, 90.00 and 120.00 degrees. Symmetry generates all atoms from Sr at (0.0000, 0.0000, 0.0000), In at (0.6667, 0.3333, 0.5000), Ga at (0.3333, 0.6667, 0.0000) and Cl at (0.0577, 0.3858, 0.2105).


# 12
Material: Sr2InGaCl
Method: DFT, PBE
State: relaxed

For the uncorrected formation energy, the calculation gives 472 meV/atom. The value obtained for the calculated total energy is -8.62 eV/cell.

The space group is P4/mmm (No. 123) and the conventional cell measures 6.614, 6.614 and 14.008 Å, with angles of 90.00, 90.00 and 90.00 degrees. Symmetry generates all atoms from Sr at (0.000, 0.500, 0.000), In at (0.000, 0.000, 0.500), Ga at (0.500, 0.500, 0.500) and Cl at (0.500, 0.500, 0.000).


# 13
Material: TbInGa2Cl6
Method: DFT, PBE
State: relaxed

For the uncorrected formation energy, the calculation gives -1362 meV/atom. The value obtained for the calculated total energy is -38.12 eV/cell.

The space group is P1 (No. 1) and the conventional cell measures 7.531, 7.540 and 7.949 Å, with angles of 90.02, 118.27 and 119.95 degrees. Symmetry generates all atoms from Tb at (0.000, 0.000, 0.000), In at (0.976, 0.488, 0.465), Ga at (0.376, 0.688, 0.064), Ga at (0.393, 0.196, 0.590), Cl at (0.148, 0.245, 0.794), Cl at (0.186, 0.368, 0.261), Cl at (0.443, 0.074, 0.261), Cl at (0.549, 0.903, 0.795), Cl at (0.891, 0.646, 0.795) and Cl at (0.894, 0.819, 0.262).


# 14
Material: InGaTcCl2
Method: DFT, PBE
State: relaxed

For the uncorrected formation energy, the calculation gives 591 meV/atom. The value obtained for the calculated total energy is -16.87 eV/cell.

The space group is P4/mmm (No. 123) and the conventional cell measures 4.943, 4.943 and 5.600 Å, with angles of 90.00, 90.00 and 90.00 degrees. Symmetry generates all atoms from In at (0.000, 0.000, 0.000), Ga at (0.000, 0.000, 0.500), Tc at (0.500, 0.500, 0.000) and Cl at (0.000, 0.500, 0.500).


# 15
Material: Tl2InGaCl6
Method: DFT, PBE
State: relaxed

For the uncorrected formation energy, the calculation gives -1008 meV/atom. The value obtained for the calculated total energy is -94.96 eV/cell.

The space group is R3 (No. 146, hexagonal axes) and the conventional cell measures 7.5987, 7.5987 and 18.7458 Å, with angles of 90.00, 90.00 and 120.00 degrees. Symmetry generates all atoms from Tl at (0.0000, 0.0000, 0.0000), Tl at (0.0000, 0.0000, 0.4948), In at (0.0000, 0.0000, 0.7169), Ga at (0.0000, 0.0000, 0.2236), Cl at (0.0210, 0.5850, 0.4576) and Cl at (0.1052, 0.3666, 0.2999).


# 16
Material: TlIn2GaCl4
Method: DFT, PBE
State: relaxed

For the uncorrected formation energy, the calculation gives -812 meV/atom. The value obtained for the calculated total energy is -24.75 eV/cell.

The space group is P2/m (No. 10) and the conventional cell measures 7.799, 4.510 and 7.825 Å, with angles of 90.00, 109.47 and 90.00 degrees. Symmetry generates all atoms from Tl at (0.000, 0.000, 0.000), In at (0.000, 0.500, 0.500), In at (0.500, 0.000, 0.500), Ga at (0.500, 0.500, 0.000), Cl at (0.258, 0.500, 0.246) and Cl at (0.262, 0.000, 0.760).


# 17
Material: TmInGa2Cl6
Method: DFT, PBE
State: relaxed

For the uncorrected formation energy, the calculation gives -1361 meV/atom. The value obtained for the calculated total energy is -37.95 eV/cell.

The space group is P1 (No. 1) and the conventional cell measures 7.489, 7.502 and 7.904 Å, with angles of 90.01, 118.27 and 119.94 degrees. Symmetry generates all atoms from Tm at (0.000, 0.000, 0.000), In at (0.024, 0.512, 0.536), Ga at (0.607, 0.804, 0.411), Ga at (0.626, 0.313, 0.940), Cl at (0.109, 0.924, 0.746), Cl at (0.112, 0.762, 0.206), Cl at (0.443, 0.349, 0.206), Cl at (0.561, 0.638, 0.745), Cl at (0.821, 0.184, 0.745) and Cl at (0.856, 0.095, 0.206).


# 18
Material: UInGaCl6
Method: DFT, PBE
State: relaxed

For the uncorrected formation energy, the calculation gives -1324 meV/atom. The value obtained for the calculated total energy is -80.11 eV/cell.

The space group is P-31c (No. 163) and the conventional cell measures 7.4782, 7.4782 and 13.0524 Å, with angles of 90.00, 90.00 and 120.00 degrees. Symmetry generates all atoms from U at (0.3333, 0.6667, 0.2500), In at (0.0000, 0.0000, 0.0000), Ga at (0.3333, 0.6667, 0.7500) and Cl at (0.0379, 0.3814, 0.1354).


# 19
Material: UInGa2Cl8
Method: DFT, PBE
State: relaxed

For the uncorrected formation energy, the calculation gives -1206 meV/atom. The value obtained for the calculated total energy is -49.32 eV/cell.

The space group is P2/m (No. 10) and the conventional cell measures 6.823, 9.078 and 7.085 Å, with angles of 90.00, 91.36 and 90.00 degrees. Symmetry generates all atoms from U at (0.000, 0.000, 0.000), In at (0.000, 0.500, 0.000), Ga at (0.500, 0.285, 0.500), Cl at (0.212, 0.204, 0.860), Cl at (0.215, 0.000, 0.294) and Cl at (0.296, 0.500, 0.339).


# 20
Material: VIn2GaCl6
Method: DFT, PBE
State: relaxed

For the uncorrected formation energy, the calculation gives -955 meV/atom. The value obtained for the calculated total energy is -38.26 eV/cell.

The space group is P-1 (No. 2) and the conventional cell measures 7.099, 7.108 and 7.116 Å, with angles of 65.15, 65.19 and 65.12 degrees. Symmetry generates all atoms from V at (0.000, 0.000, 0.000), In at (0.234, 0.234, 0.233), Ga at (0.500, 0.500, 0.500), Cl at (0.143, 0.805, 0.304), Cl at (0.196, 0.696, 0.857) and Cl at (0.304, 0.144, 0.806).